Material: Ce3SeO3
Method: DFT, GGA-PBE
State: relaxed

a b c (Å): 8.1428 8.1428 8.1428
angles (deg): 49.96 49.96 49.96
Last column: nearest neighbours and their distance in Å.
Atoms (fractional coordinates):
Ce (0.0608, 0.7423, 0.4032)  4 O 2.35-2.38
Ce (0.2577, 0.5968, 0.9392)  4 O 2.35-2.38
Ce (0.4032, 0.0608, 0.7423)  4 O 2.35-2.38
Ce (0.5968, 0.9392, 0.2577)  4 O 2.35-2.38
Ce (0.7423, 0.4032, 0.0608)  4 O 2.35-2.38
Ce (0.9392, 0.2577, 0.5968)  4 O 2.35-2.38
Se (0.1666, 0.1666, 0.1666)  6 Ce 3.08-3.09
Se (0.8334, 0.8334, 0.8334)  6 Ce 3.08-3.09
O (0.0502, 0.3741, 0.7047)  4 Ce 2.35-2.38
O (0.2953, 0.9498, 0.6259)  4 Ce 2.35-2.38
O (0.3741, 0.7047, 0.0502)  4 Ce 2.35-2.38
O (0.6259, 0.2953, 0.9498)  4 Ce 2.35-2.38
O (0.7047, 0.0502, 0.3741)  4 Ce 2.35-2.38
O (0.9498, 0.6259, 0.2953)  4 Ce 2.35-2.38

Results
The calculation puts the formation energy without anion corrections at -2.892 eV/atom. Its density is 6.2 g cm⁻³.


Material: MgOs
Method: DFT, GGA-PBE
State: relaxed

a b c (Å): 5.3108 5.3108 6.7609
angles (deg): 104.15 104.15 31.15
Last column: nearest neighbours and their distance in Å.
Atoms (fractional coordinates):
Mg (0.0000, 0.0000, 0.0000)  6 Mg 2.64-2.93, 4 Os 2.84-2.85
Mg (0.0498, 0.0498, 0.5915)  7 Os 2.70-2.81, 5 Mg 2.85-3.01
Mg (0.7357, 0.7357, 0.9453)  5 Mg 2.64-2.90, 5 Os 2.82-2.88
Os (0.3240, 0.3240, 0.6327)  5 Os 2.62-2.85, 5 Mg 2.75-2.88
Os (0.3910, 0.3910, 0.2840)  6 Os 2.62-2.85, 6 Mg 2.70-2.84
Os (0.6729, 0.6729, 0.3287)  7 Os 2.65-2.85, 5 Mg 2.81-2.85

Results
The value obtained for the formation energy is 0.234 eV per atom. Its density is 11.2 g cm⁻³.


Material: Mn3AlPd4
Method: DFT, GGA-PBE
State: relaxed

a b c (Å): 7.3736 7.3729 4.2114
angles (deg): 73.41 73.40 33.19
Last column: nearest neighbours and their distance in Å.
Atoms (fractional coordinates):
Mn (0.0000, 0.0000, 0.0000)  8 Pd 2.67, 4 Al 2.98
Mn (0.2501, 0.2501, 0.7499)  8 Pd 2.73, 4 Mn 2.98
Mn (0.7499, 0.7499, 0.2501)  8 Pd 2.73, 4 Mn 2.98
Al (0.5000, 0.5000, 0.5000)  8 Pd 2.67, 4 Mn 2.98
Pd (0.1213, 0.1213, 0.3787)  6 Mn 2.67-2.73, 2 Al 2.67, 4 Pd 2.98
Pd (0.3787, 0.3787, 0.1213)  2 Al 2.67, 6 Mn 2.67-2.73, 4 Pd 2.98
Pd (0.6213, 0.6213, 0.8787)  6 Mn 2.67-2.73, 2 Al 2.67, 4 Pd 2.98
Pd (0.8787, 0.8787, 0.6213)  2 Al 2.67, 6 Mn 2.67-2.73, 4 Pd 2.98

Results
The value obtained for the formation energy is -0.383 eV per atom. Its density is 8.6 g cm⁻³.


Material: LaEuIr
Method: DFT, GGA-PBE
State: relaxed

a b c (Å): 4.2263 4.2263 6.5577
angles (deg): 90.00 90.00 120.00
Last column: nearest neighbours and their distance in Å.
Atoms (fractional coordinates):
La (0.0000, 0.0000, 0.0000)  3 Ir 2.82
Eu (0.6667, 0.3333, 0.5352)  3 Ir 2.94
Ir (0.3333, 0.6667, 0.7851)  3 La 2.82, 3 Eu 2.94

Results
The energy above the most stable polymorph in this dataset comes out at 0.020 eV/atom. The value obtained for the formation energy is -0.479 eV per atom. Its density is 7.9 g cm⁻³.


Material: MoPb2W
Method: DFT, GGA-PBE
State: relaxed

a b c (Å): 11.0369 11.0369 11.0369
angles (deg): 16.71 16.71 16.71
Last column: nearest neighbours and their distance in Å.
Atoms (fractional coordinates):
Mo (0.0000, 0.0000, 0.0000)  3 W 2.52
Pb (0.2505, 0.2505, 0.2505)  6 Pb 3.21, 3 Mo 3.28
Pb (0.4690, 0.4690, 0.4690)  6 Pb 3.21, 3 W 3.29
W (0.7192, 0.7192, 0.7192)  3 Mo 2.52

Results
The energy above the most stable polymorph in this dataset comes out at 0.103 eV/atom. The value obtained for the formation energy is 0.513 eV per atom. Its density is 11.9 g cm⁻³.


Material: Tm8PdRu2
Method: DFT, GGA-PBE
State: relaxed

a b c (Å): 7.4848 7.4848 5.6989
angles (deg): 99.72 99.72 112.07
Last column: nearest neighbours and their distance in Å.
Atoms (fractional coordinates):
Tm (0.0000, 0.0000, 0.0000)  2 Ru 2.95, 1 Pd 3.00
Tm (0.0295, 0.2916, 0.5963)  2 Ru 2.77
Tm (0.1447, 0.5910, 0.1886)  1 Pd 2.86, 2 Ru 3.05-3.06
Tm (0.2916, 0.0295, 0.5963)  2 Ru 2.77
Tm (0.4402, 0.7014, 0.7851)  2 Ru 2.78, 1 Pd 3.10
Tm (0.5910, 0.1447, 0.1886)  1 Pd 2.86, 2 Ru 3.05-3.06
Tm (0.7014, 0.4402, 0.7851)  2 Ru 2.78, 1 Pd 3.10
Tm (0.7394, 0.7394, 0.3804)  2 Ru 2.93, 1 Pd 3.07
Pd (0.3697, 0.3697, 0.0649)  8 Tm 2.86-3.16
Ru (0.0538, 0.6764, 0.6886)  8 Tm 2.77-3.06
Ru (0.6764, 0.0538, 0.6886)  8 Tm 2.77-3.06

Results
The energy above the most stable polymorph in this dataset comes out at 0.038 eV/atom. The value obtained for the formation energy is -0.343 eV per atom. Its density is 9.8 g cm⁻³.


Material: Hg3PdCl
Method: DFT, GGA-PBE
State: relaxed

a b c (Å): 5.6203 5.6203 5.6203
angles (deg): 90.00 90.00 90.00
Last column: nearest neighbours and their distance in Å.
Atoms (fractional coordinates):
Hg (0.0000, 0.0000, 0.5000)  2 Cl 2.81
Hg (0.0000, 0.5000, 0.0000)  2 Cl 2.81
Hg (0.5000, 0.0000, 0.0000)  2 Cl 2.81
Pd (0.5000, 0.5000, 0.5000)  12 Hg 3.97
Cl (0.0000, 0.0000, 0.0000)  6 Hg 2.81

Results
The energy above the most stable polymorph in this dataset comes out at 0.818 eV/atom. The calculation puts the formation energy without anion corrections at 0.705 eV/atom. Its density is 7.0 g cm⁻³.


Material: UCo2
Method: DFT, GGA-PBE
State: relaxed

a b c (Å): 4.8918 4.8918 4.8918
angles (deg): 60.00 60.00 60.00
Last column: nearest neighbours and their distance in Å.
Atoms (fractional coordinates):
U (0.1250, 0.1250, 0.1250)  12 Co 2.87, 4 U 3.00
U (0.8750, 0.8750, 0.8750)  12 Co 2.87, 4 U 3.00
Co (0.0000, 0.5000, 0.5000)  6 Co 2.45
Co (0.5000, 0.0000, 0.5000)  6 Co 2.45
Co (0.5000, 0.5000, 0.0000)  6 Co 2.45
Co (0.5000, 0.5000, 0.5000)  6 Co 2.45

Results
The value obtained for the formation energy is -0.243 eV per atom. Its density is 14.3 g cm⁻³.


- Which value of density does entry 3 give?
  8.6 g cm⁻³


Repeat the third record exactly.
Material: Mn3AlPd4
Method: DFT, GGA-PBE
State: relaxed

a b c (Å): 7.3736 7.3729 4.2114
angles (deg): 73.41 73.40 33.19
Last column: nearest neighbours and their distance in Å.
Atoms (fractional coordinates):
Mn (0.0000, 0.0000, 0.0000)  8 Pd 2.67, 4 Al 2.98
Mn (0.2501, 0.2501, 0.7499)  8 Pd 2.73, 4 Mn 2.98
Mn (0.7499, 0.7499, 0.2501)  8 Pd 2.73, 4 Mn 2.98
Al (0.5000, 0.5000, 0.5000)  8 Pd 2.67, 4 Mn 2.98
Pd (0.1213, 0.1213, 0.3787)  6 Mn 2.67-2.73, 2 Al 2.67, 4 Pd 2.98
Pd (0.3787, 0.3787, 0.1213)  2 Al 2.67, 6 Mn 2.67-2.73, 4 Pd 2.98
Pd (0.6213, 0.6213, 0.8787)  6 Mn 2.67-2.73, 2 Al 2.67, 4 Pd 2.98
Pd (0.8787, 0.8787, 0.6213)  2 Al 2.67, 6 Mn 2.67-2.73, 4 Pd 2.98

Results
The value obtained for the formation energy is -0.383 eV per atom. Its density is 8.6 g cm⁻³.


- The highest density belongs to which entry?
  UCo2


Copy entry 6 word for word.
Material: Tm8PdRu2
Method: DFT, GGA-PBE
State: relaxed

a b c (Å): 7.4848 7.4848 5.6989
angles (deg): 99.72 99.72 112.07
Last column: nearest neighbours and their distance in Å.
Atoms (fractional coordinates):
Tm (0.0000, 0.0000, 0.0000)  2 Ru 2.95, 1 Pd 3.00
Tm (0.0295, 0.2916, 0.5963)  2 Ru 2.77
Tm (0.1447, 0.5910, 0.1886)  1 Pd 2.86, 2 Ru 3.05-3.06
Tm (0.2916, 0.0295, 0.5963)  2 Ru 2.77
Tm (0.4402, 0.7014, 0.7851)  2 Ru 2.78, 1 Pd 3.10
Tm (0.5910, 0.1447, 0.1886)  1 Pd 2.86, 2 Ru 3.05-3.06
Tm (0.7014, 0.4402, 0.7851)  2 Ru 2.78, 1 Pd 3.10
Tm (0.7394, 0.7394, 0.3804)  2 Ru 2.93, 1 Pd 3.07
Pd (0.3697, 0.3697, 0.0649)  8 Tm 2.86-3.16
Ru (0.0538, 0.6764, 0.6886)  8 Tm 2.77-3.06
Ru (0.6764, 0.0538, 0.6886)  8 Tm 2.77-3.06

Results
The energy above the most stable polymorph in this dataset comes out at 0.038 eV/atom. The value obtained for the formation energy is -0.343 eV per atom. Its density is 9.8 g cm⁻³.